Crystalline CeCd2Hg5 at its relaxed geometry. Source: Alexandria via LeMat-Bulk, functional PBE.

The density of states at the Fermi level is 18.0 states/eV per cell. Its volume is 199 Å³/f.u. Its uncorrected energy is -1.2553 eV/atom.

It has space group Immm (No. 71), with a = 3.3322 Å, b = 9.7106 Å, c = 12.3063 Å, α = 90.00°, β = 90.00° and γ = 90.00°. The asymmetric unit holds Ce at (0.0000, 0.0000, 0.0000), Cd at (0.0000, 0.5000, 0.2407), Hg at (0.0000, 0.2450, 0.3728) and Hg at (0.0000, 0.5000, 0.0000).